[1]
## Ce2TlS (PBE)

Data for an optimized crystal structure of Ce2TlS.

As for the total magnetization: 2.59 μB per cell. For the calculated total energy, the calculation gives -22.111 eV/cell.

The structure belongs to space group P4/mmm (No. 123); the cell edges are 3.4779, 3.4779 and 8.2062 Å and the angles 90.00°, 90.00° and 90.00°. The asymmetric unit holds Ce at (0.0000, 0.0000, 0.2110), Tl at (0.5000, 0.5000, 0.5000) and S at (0.5000, 0.5000, 0.0000).

---

[2]
## TlCoCuCl4 (PBE)

Data for an optimized crystal structure of TlCoCuCl4.

As for the total magnetization: 6.04 μB per cell. For the calculated total energy, the calculation gives -51.176 eV/cell.

The structure belongs to space group I-4 (No. 82); the cell edges are 6.7920, 6.7920 and 9.1121 Å and the angles 90.00°, 90.00° and 90.00°. The asymmetric unit holds Tl at (0.0000, 0.0000, 0.0000), Co at (0.0000, 0.5000, 0.7500), Cu at (0.0000, 0.0000, 0.5000) and Cl at (0.1524, 0.2434, 0.6375).

---

- calculated total energy of number 2 (TlCoCuCl4)?
  -51.176 eV/cell

---

- calculated total energy of number 1 (Ce2TlS)?
  -22.111 eV/cell

---

- Look up the calculated total energy of the second one.
  -51.176 eV/cell

---

- Which of these has the lowest calculated total energy?
  TlCoCuCl4